# AcMn2SiO8

A relaxed structure of AcMn2SiO8 (GGA+U, Alexandria).

Output
SG = P-3 (147)
magnetic moment = 5.000 μB/cell
DOS at the Fermi energy = 4.42 states/eV/cell
mass density = 5.30 g cm⁻³
E = -86.08 eV/cell

extended XYZ file:
```
12
Lattice="5.106 0.000 0.000 -2.553 4.422 0.000 0.000 0.000 6.846" Properties=species:S:1:pos:R:3 pbc="T T T"
Ac 0.000 0.000 0.000
Mn 0.000 2.948 4.822
Mn 2.553 1.474 2.024
Si 0.000 0.000 3.423
O -0.583 1.276 4.525
O -1.156 4.289 4.525
O 0.814 1.143 2.321
O 0.000 2.948 6.549
O 2.553 1.474 0.297
O 1.739 3.278 4.525
O 3.709 0.133 2.321
O 3.136 3.145 2.321
```